(1)
Ba3Zn2Si3, optimized geometry, DFT PBE-GGA; uncorrected formation energy = -0.318 eV/atom
1.0
-1.3649 4.2578 -0.2609
-1.9489 -3.3019 -5.2472
-14.1194 -4.0489 7.7920
Ba Zn Si
6 4 6
Cartesian
-8.1413 -0.2932 -0.6354
-13.5890 -4.0321 5.2908
-3.8443 0.9391 -3.0069
-9.2919 -2.7999 2.9194
-4.3600 1.0508 1.5157
-13.0732 -4.1439 0.7682
-15.1568 -2.3379 2.6982
-6.0706 -1.8432 1.6796
-11.3627 -1.2499 0.6043
-2.2764 -0.7551 -0.4143
-7.3600 0.1577 2.6355
-15.6603 -4.8529 2.7318
-1.7729 1.7599 -0.4478
-10.0732 -3.2508 -0.3516
-4.7626 -1.5618 -0.5713
-12.6706 -1.5313 2.8553

(2)
Ca2Ga9Cu3, optimized geometry, DFT PBE-GGA; ΔE_f = -257 meV per atom
1.0
-2.8182 5.5574 -4.3019
-0.1874 -7.1613 -2.4525
-7.0812 -2.4900 7.9786
Ca Ga Cu
4 18 6
Cartesian
-6.2984 -1.8034 3.9416
-3.7884 -2.2905 -2.7174
-8.2339 -0.4878 0.2541
-1.8529 -3.6061 0.9701
-6.7670 -5.8878 1.7580
-3.3198 1.7939 -0.5338
-7.3323 -3.2335 1.3792
-2.7545 -0.8603 -0.1551
-7.9930 -4.4122 3.8769
-2.0938 0.3183 -2.6527
-4.7415 -3.9808 2.3276
-5.3453 -0.1131 -1.1034
-7.7945 2.1031 1.9262
-2.2923 -6.1970 -0.7020
-7.2017 -8.6637 4.5694
-2.8851 4.5698 -3.3452
-5.5079 0.2840 1.6910
-4.5789 -4.3779 -0.4668
-6.6640 -2.6766 -1.3302
-3.4227 -1.4173 2.5544
-8.8654 -0.1467 3.2849
-1.2214 -3.9472 -2.0607
-1.4091 2.7787 -2.1510
-5.0434 -2.0469 0.6121
-5.9507 2.1990 -0.0450
-4.1360 -6.2929 1.2692
-7.6203 -3.9772 6.4008
-2.4665 -0.1167 -5.1766

(3)
Li2CrHg2, optimized geometry, DFT PBE-GGA; ΔE_f = 205 meV per atom
1.0
4.8892 0.0000 0.0000
0.0000 4.8892 0.0000
2.4446 2.4446 4.0135
Cr Hg Li
1 2 2
Cartesian
0.0000 0.0000 0.0000
4.8892 2.4446 2.0067
2.4446 4.8892 2.0067
2.4446 2.4446 1.1667
4.8892 4.8892 2.8468

(4)
CaAlSeBr2, optimized geometry, DFT PBE-GGA; energy relative to the lowest polymorph listed for this composition = 0 meV/atom; uncorrected formation energy = -0.913 eV/atom
1.0
5.1385 0.0000 0.0000
0.0000 5.1385 0.0000
0.0000 0.0000 5.1705
Ca Se Br Al
1 1 2 1
Cartesian
2.5693 2.5693 2.5852
0.0000 0.0000 2.5852
0.0000 2.5693 0.0000
2.5693 0.0000 0.0000
0.0000 0.0000 0.0000

(5)
BrCl2F, optimized geometry, DFT PBE-GGA; energy relative to the lowest polymorph listed for this composition = 498 meV/atom; uncorrected formation energy = 0.363 eV/atom
1.0
-11.1093 -0.5446 1.5726
-10.2156 -1.8302 4.2987
-10.4078 1.2955 4.0231
F Br Cl
1 1 2
Cartesian
0.0000 0.0000 0.0000
-15.8663 -0.5396 4.9472
-29.8371 -1.0148 9.3034
-1.8956 -0.0645 0.5911

(6)
Tl4CrRh, optimized geometry, DFT PBE-GGA; ΔE_f = 883 meV per atom
1.0
0.0000 4.2916 4.2916
4.2916 0.0000 4.2916
4.2916 4.2916 0.0000
Tl Cr Rh
4 1 1
Cartesian
3.2161 5.3670 5.3670
5.3670 5.3670 3.2161
5.3670 3.2161 5.3670
3.2161 3.2161 3.2161
6.4374 6.4374 6.4374
0.0000 0.0000 0.0000

(7)
OsAuSe2, optimized geometry, DFT PBE-GGA; energy relative to the lowest polymorph listed for this composition = 342 meV/atom; uncorrected formation energy = 0.434 eV/atom
1.0
2.9616 0.0000 0.0000
0.0000 2.9616 0.0000
0.0000 0.0000 8.9873
Au Os Se
1 1 2
Cartesian
1.4808 1.4808 2.2468
1.4808 1.4808 6.7405
0.0000 0.0000 8.3625
0.0000 0.0000 5.1185

(8)
Nd6HgCl8, optimized geometry, DFT PBE-GGA; uncorrected formation energy = -1.612 eV/atom
1.0
6.6522 0.0000 2.1853
2.9672 5.9538 2.1853
-0.0146 -0.0090 11.2620
Nd Hg Cl
6 1 8
Cartesian
8.0633 3.5745 5.2777
4.9021 0.3224 11.0425
4.7632 4.2436 11.7941
4.8416 1.7012 3.8384
4.7027 5.6224 4.5901
1.5415 2.3703 10.3549
0.0000 0.0000 0.0000
6.5151 2.5571 10.2071
6.5361 1.2543 6.1238
6.4216 5.2904 6.9068
3.1939 1.9769 12.7125
6.4108 3.9679 2.9200
3.1832 0.6544 8.7257
3.0687 4.6905 9.5088
3.0897 3.3877 5.4254

(9)
BC3, optimized geometry, DFT PBE-GGA; energy relative to the lowest polymorph listed for this composition = 55 meV/atom; ΔE_f = 296 meV per atom
1.0
2.5172 0.0000 0.0000
0.0000 2.5177 0.0000
0.0000 0.0000 3.8971
C B
3 1
Cartesian
0.0000 0.0000 0.6686
1.2586 1.2589 2.7877
1.2586 0.0000 3.6766
0.0000 1.2589 1.7278

(10)
Li2ZnH4, optimized geometry, DFT PBE-GGA; energy relative to the lowest polymorph listed for this composition = 123 meV/atom
1.0
3.5238 0.0000 0.0000
0.0000 3.5238 0.0000
1.7619 1.7619 5.1687
H Zn Li
4 1 2
Cartesian
1.7619 1.7619 3.3700
3.5238 3.5238 1.7987
0.0000 1.7619 0.0000
1.7619 0.0000 0.0000
0.0000 0.0000 0.0000
1.7619 1.7619 1.4856
3.5238 3.5238 3.6831

(11)
Rb3CoCl8, optimized geometry, DFT PBE-GGA; uncorrected formation energy = -0.832 eV/atom
1.0
7.4157 0.0000 0.0000
0.0000 7.4157 0.0000
-3.7078 -3.7078 7.2064
Rb Co Cl
3 1 8
Cartesian
3.7078 0.0000 3.6032
3.7078 3.7078 0.0000
0.0000 3.7078 3.6032
0.0000 0.0000 0.0000
1.5229 1.5229 1.5108
1.5229 5.8928 1.5108
-2.1850 2.1850 5.6957
-2.1850 -2.1850 5.6957
5.8928 5.8928 1.5108
5.8928 1.5229 1.5108
2.1850 -2.1850 5.6957
2.1850 2.1850 5.6957

(12)
SrCdRh2I, optimized geometry, DFT PBE-GGA; uncorrected formation energy = 0.561 eV/atom
1.0
5.0581 0.0000 0.0000
0.0000 5.7582 0.0000
0.0000 0.0000 5.0581
I Sr Rh Cd
1 1 2 1
Cartesian
0.0000 2.8791 0.0000
2.5290 2.8791 2.5290
0.0000 0.0000 2.5290
2.5290 0.0000 0.0000
0.0000 0.0000 0.0000